No. 1
MgZnRuF2 | SCAN | PBEsol geometry

Structure (POSCAR):
```
MgZnRuF2
1.0
3.6380 0.0000 0.0000
0.0000 3.6380 0.0000
0.0000 0.0000 7.1226
Mg Zn Ru F
1 1 1 2
Direct
0.0000 0.0000 0.0000
0.5000 0.5000 0.5000
0.0000 0.0000 0.5000
0.0000 0.5000 0.0000
0.5000 0.0000 0.0000
```

## Properties
ΔE_f (raw), eV per atom: -1.2703
Total moment, Bohr magnetons per cell: 1.87
Space-group type: P4/mmm (123)

---

No. 2
MgSF2 | SCAN | PBEsol geometry

Structure (POSCAR):
```
MgSF2
1.0
1.4433 0.8333 9.1688
-1.4433 0.8333 9.1688
0.0000 -1.6666 9.1688
Mg S F
1 1 2
Direct
0.0000 0.0000 0.0000
0.5000 0.5000 0.5000
0.3701 0.3701 0.3701
0.6299 0.6299 0.6299
```

## Properties
ΔE_f (raw), eV per atom: -2.3049
Total moment, Bohr magnetons per cell: 0.33
Space-group type: R-3m (166)

---

No. 3
MgSi2SF | SCAN | PBEsol geometry

Structure (POSCAR):
```
MgSi2SF
1.0
5.0220 0.0000 0.0000
0.0000 5.0220 0.0000
0.0000 0.0000 3.6588
Mg Si S F
1 2 1 1
Direct
0.0000 0.0000 0.0000
0.0000 0.5000 0.0000
0.5000 0.0000 0.0000
0.5000 0.5000 0.5000
0.0000 0.0000 0.5000
```

## Properties
ΔE_f (raw), eV per atom: -0.0580
Total moment, Bohr magnetons per cell: 0.00
Space-group type: P4/mmm (123)

---

No. 4
MgSbF5 | SCAN | PBEsol geometry

Structure (POSCAR):
```
MgSbF5
1.0
5.5888 0.0000 0.0000
0.0000 9.9786 0.0000
-4.0465 0.0000 6.8478
Mg Sb F
4 4 20
Direct
0.0293 0.0258 0.3101
0.0293 0.4742 0.8101
0.9707 0.5258 0.1899
0.9707 0.9742 0.6899
0.4458 0.7236 0.6721
0.4458 0.7764 0.1721
0.5542 0.2236 0.8279
0.5542 0.2764 0.3279
0.1399 0.6027 0.0362
0.1399 0.8973 0.5362
0.1959 0.6765 0.3865
0.1959 0.8235 0.8865
0.2114 0.5645 0.6856
0.2114 0.9355 0.1856
0.3085 0.0822 0.8455
0.3085 0.4178 0.3455
0.3417 0.1541 0.4432
0.3417 0.3459 0.9432
0.6583 0.6541 0.0568
0.6583 0.8459 0.5568
0.6915 0.5822 0.6545
0.6915 0.9178 0.1545
0.7886 0.0645 0.8144
0.7886 0.4355 0.3144
0.8041 0.1765 0.1135
0.8041 0.3235 0.6135
0.8601 0.1027 0.4638
0.8601 0.3973 0.9638
```

## Properties
ΔE_f (raw), eV per atom: -2.9722
Total moment, Bohr magnetons per cell: 0.00
Space-group type: P2_1/c (14)

---

No. 5
MgScF2 | SCAN | PBEsol geometry

Structure (POSCAR):
```
MgScF2
1.0
1.6744 0.9667 6.0928
-1.6744 0.9667 6.0928
0.0000 -1.9334 6.0928
Mg Sc F
1 1 2
Direct
0.0000 0.0000 0.0000
0.5000 0.5000 0.5000
0.3786 0.3786 0.3786
0.6214 0.6214 0.6214
```

## Properties
ΔE_f (raw), eV per atom: -2.4604
Total moment, Bohr magnetons per cell: 0.97
Space-group type: R-3m (166)

---

No. 6
MgTa2SeF | SCAN | PBEsol geometry

Structure (POSCAR):
```
MgTa2SeF
1.0
4.8359 0.0000 0.0000
0.0000 4.8359 0.0000
0.0000 0.0000 4.6174
Mg Ta Se F
1 2 1 1
Direct
0.0000 0.0000 0.0000
0.0000 0.5000 0.0000
0.5000 0.0000 0.0000
0.0000 0.0000 0.5000
0.5000 0.5000 0.5000
```

## Properties
ΔE_f (raw), eV per atom: 1.6910
Total moment, Bohr magnetons per cell: 2.43
Space-group type: P4/mmm (123)

---

No. 7
MgSiTe2F | SCAN | PBEsol geometry

Structure (POSCAR):
```
MgSiTe2F
1.0
5.1987 0.0000 0.0000
0.0000 5.1987 0.0000
0.0000 0.0000 4.9856
Mg Si Te F
1 1 2 1
Direct
0.0000 0.0000 0.0000
0.0000 0.0000 0.5000
0.0000 0.5000 0.0000
0.5000 0.0000 0.0000
0.5000 0.5000 0.5000
```

## Properties
ΔE_f (raw), eV per atom: 0.4067
Total moment, Bohr magnetons per cell: 0.00
Space-group type: P4/mmm (123)

---

No. 8
MgSnF4 | SCAN | PBEsol geometry

Structure (POSCAR):
```
MgSnF4
1.0
6.4815 -2.7361 0.0000
6.4815 2.7361 0.0000
-1.5900 0.0000 4.6318
Mg Sn F
2 2 8
Direct
0.0000 0.0000 0.0000
0.5324 0.4676 0.5000
0.3656 0.0688 0.7371
0.9312 0.6344 0.2629
0.1188 0.1660 0.3282
0.2026 0.6857 0.2059
0.3119 0.3895 0.5380
0.3143 0.7974 0.7941
0.6105 0.6881 0.4620
0.7040 0.1627 0.2000
0.8340 0.8812 0.6718
0.8373 0.2960 0.8000
```

## Properties
ΔE_f (raw), eV per atom: -3.0143
Total moment, Bohr magnetons per cell: 0.00
Space-group type: C2 (5)

---

No. 9
SrMg2F | SCAN | PBEsol geometry

Structure (POSCAR):
```
SrMg2F
1.0
0.0000 4.7565 4.7565
4.7565 0.0000 4.7565
4.7565 4.7565 0.0000
Sr Mg F
2 4 2
Direct
0.1250 0.1250 0.1250
0.8750 0.8750 0.8750
0.0000 0.5000 0.5000
0.5000 0.0000 0.5000
0.5000 0.5000 0.0000
0.5000 0.5000 0.5000
0.3750 0.3750 0.3750
0.6250 0.6250 0.6250
```

## Properties
ΔE_f (raw), eV per atom: -1.0805
Total moment, Bohr magnetons per cell: 0.00
Space-group type: Fd-3m (227)
Excess energy over the best structure of this formula in the dataset, eV/atom: 0.000

---

No. 10
SrMgF4 | SCAN | PBEsol geometry

Structure (POSCAR):
```
SrMgF4
1.0
2.0133 -7.3543 0.0000
2.0133 7.3543 0.0000
0.0000 0.0000 5.5055
Sr Mg F
2 2 8
Direct
0.1674 0.8326 0.7500
0.8326 0.1674 0.2500
0.4101 0.5899 0.7500
0.5899 0.4101 0.2500
0.1023 0.8977 0.2500
0.3125 0.6875 0.5005
0.3125 0.6875 0.9995
0.5000 0.5000 0.0000
0.5000 0.5000 0.5000
0.6875 0.3125 0.0005
0.6875 0.3125 0.4995
0.8977 0.1023 0.7500
```

## Properties
ΔE_f (raw), eV per atom: -3.9478
Total moment, Bohr magnetons per cell: 0.00
Space-group type: Cmcm (63)

---

No. 11
SrMg2F | SCAN | PBEsol geometry

Structure (POSCAR):
```
SrMg2F
1.0
0.0000 3.8109 3.8109
3.8109 0.0000 3.8109
3.8109 3.8109 0.0000
Sr Mg F
1 2 1
Direct
0.0000 0.0000 0.0000
0.2500 0.2500 0.2500
0.7500 0.7500 0.7500
0.5000 0.5000 0.5000
```

## Properties
ΔE_f (raw), eV per atom: -0.2724
Total moment, Bohr magnetons per cell: 0.00
Space-group type: Fm-3m (225)
Excess energy over the best structure of this formula in the dataset, eV/atom: 0.808

---

No. 12
SrMgF4 | SCAN | PBEsol geometry

Structure (POSCAR):
```
SrMgF4
1.0
1.9657 -7.2250 0.0000
1.9657 7.2250 0.0000
0.0000 0.0000 5.6139
Sr Mg F
2 2 8
Direct
0.1593 0.8407 0.5000
0.8407 0.1593 0.0000
0.4158 0.5842 0.5547
0.5842 0.4158 0.0547
0.0853 0.9147 0.0797
0.2978 0.7022 0.7472
0.3386 0.6614 0.2683
0.4649 0.5351 0.8929
0.5351 0.4649 0.3929
0.6614 0.3386 0.7683
0.7022 0.2978 0.2472
0.9147 0.0853 0.5797
```

## Properties
ΔE_f (raw), eV per atom: -3.9842
Total moment, Bohr magnetons per cell: 0.00
Space-group type: Cmc2_1 (36)